No. 1
VASP calculation (PBE-GGA) on a geometry-optimized Cs2RbGa structure.

a = 7.040 Å, b = 7.040 Å, c = 7.040 Å
α = 60.00°, β = 60.00°, γ = 60.00°
Each line ends with the local moment (μB).
Fractional positions:
Rb  0.500  0.500  0.500  0.01
Cs  0.250  0.250  0.250  0.04
Cs  0.750  0.750  0.750  0.04
Ga  0.000  0.000  0.000  0.31

Calculated values
Crystal system: cubic
Calculated volume in A^3/atom: 61.68
Formation energy from the elements in eV/atom: 0.205
Symmetry: No. 225
Total magnetization in μB per formula unit: 1.859

***

No. 2
VASP calculation (PBE-GGA) on a geometry-optimized CsRb3Ga structure.

a = 8.189 Å, b = 8.189 Å, c = 8.189 Å
α = 90.00°, β = 90.00°, γ = 90.00°
Each line ends with the local moment (μB).
Fractional positions:
Rb  0.500  0.000  0.000  0.00
Rb  0.000  0.500  0.000  0.00
Rb  0.000  0.000  0.500  0.00
Ga  0.500  0.500  0.500  0.08
Cs  0.000  0.000  0.000  0.00

Calculated values
Crystal system: cubic
Calculated volume in A^3/atom: 109.84
Polymorph energy (0 for the lowest one) in meV/atom: 516
Formation energy from the elements in eV/atom: 0.636
Symmetry: No. 221
Total magnetization in μB per formula unit: 0.461

***

No. 3
VASP calculation (PBE-GGA) on a geometry-optimized CsRbGa structure.

a = 4.915 Å, b = 6.491 Å, c = 12.133 Å
α = 105.52°, β = 101.69°, γ = 90.00°
Fractional positions:
Rb  0.582  0.082  0.163
Rb  0.418  0.918  0.837
Cs  0.829  0.329  0.657
Cs  0.171  0.671  0.343
Ga  0.749  0.500  0.000
Ga  0.251  0.500  0.000

Calculated values
Crystal system: orthorhombic
Calculated volume in A^3/atom: 60.78
Formation energy from the elements in eV/atom: 0.053
Symmetry: No. 71
Total magnetization in μB per formula unit: 0.000

***

No. 4
VASP calculation (PBE-GGA) on a geometry-optimized Cs3RbGa structure.

a = 8.436 Å, b = 8.436 Å, c = 8.436 Å
α = 90.00°, β = 90.00°, γ = 90.00°
Each line ends with the local moment (μB).
Fractional positions:
Cs  0.000  0.000  0.500  0.01
Cs  0.500  0.000  0.000  0.00
Cs  0.000  0.500  0.000  0.01
Ga  0.500  0.500  0.500  0.23
Rb  0.000  0.000  0.000  0.00

Calculated values
Crystal system: cubic
Calculated volume in A^3/atom: 120.08
Polymorph energy (0 for the lowest one) in meV/atom: 412
Formation energy from the elements in eV/atom: 0.550
Symmetry: No. 221
Total magnetization in μB per formula unit: 1.314

***

No. 5
VASP calculation (PBE-GGA) on a geometry-optimized Cs2RbGa2Sb2 structure.

a = 4.472 Å, b = 7.700 Å, c = 16.462 Å
α = 139.09°, β = 90.00°, γ = 106.88°
Fractional positions:
Rb  0.000  0.000  0.000
Sb  0.301  0.603  0.715
Sb  0.699  0.397  0.285
Ga  0.635  0.270  0.609
Ga  0.365  0.730  0.391
Cs  0.983  0.967  0.674
Cs  0.017  0.033  0.326

Calculated values
Formation energy without anion corrections in kJ/mol of atoms: -33.7
Crystal system: monoclinic
Calculated volume in A^3/atom: 47.53
Symmetry: No. 12
Total magnetization in μB per formula unit: 0.000

***

No. 6
VASP calculation (PBE-GGA) on a geometry-optimized CsRb2Ga2Sb2 structure.

a = 4.480 Å, b = 7.270 Å, c = 16.199 Å
α = 136.21°, β = 90.00°, γ = 107.95°
Fractional positions:
Ga  0.366  0.732  0.396
Ga  0.634  0.268  0.604
Cs  0.000  0.000  0.000
Sb  0.699  0.398  0.290
Sb  0.301  0.602  0.710
Rb  0.966  0.933  0.652
Rb  0.034  0.067  0.348

Calculated values
Formation energy without anion corrections in kJ/mol of atoms: -33.5
Crystal system: monoclinic
Calculated volume in A^3/atom: 46.71
Symmetry: No. 12
Total magnetization in μB per formula unit: 0.000